{"formula": "ErFeRu", "functional": "PBE-GGA", "state": "relaxed", "lattice": [[-1.617, 1.617, 4.993], [1.617, -1.617, 4.993], [1.617, 1.617, -4.993]], "species": ["Er", "Fe", "Ru"], "fractional_positions": [[0.000, 0.000, 0.000], [0.695, 0.695, 0.000], [0.317, 0.317, 0.000]], "e_form_ev_per_atom": 0.003, "sg": "I4mm"}